Entry from the Alexandria database: a relaxed structure of Hf4ZnCu3 (PBE-GGA). Values from VASP.

```
&SYSTEM
  ibrav = 0, nat = 8, ntyp = 3
/
ATOMIC_SPECIES
Hf 178.49 Hf.upf
Zn 65.41 Zn.upf
Cu 63.55 Cu.upf
ATOMIC_POSITIONS angstrom
Hf 0.000 0.000 0.000
Hf 0.000 0.000 4.603
Hf 0.000 2.307 2.252
Hf 0.000 2.307 6.954
Zn 1.627 2.307 4.603
Cu 1.627 0.000 2.337
Cu 1.627 0.000 6.869
Cu 1.627 2.307 0.000
CELL_PARAMETERS angstrom
3.253 0.000 0.000
0.000 4.615 0.000
0.000 0.000 9.206
```

Size of the total moment ... 1.6 μB per cell
VASP energy ... -6.78 eV/atom
Mass density ... 11.65 g cm⁻³
Formation enthalpy at 0 K ... -0.113 eV/atom

***

Entry from the Alexandria database: a relaxed structure of Hf2Zn15Cu2 (PBE-GGA). Values from VASP.

```
&SYSTEM
  ibrav = 0, nat = 19, ntyp = 3
/
ATOMIC_SPECIES
Hf 178.49 Hf.upf
Zn 65.41 Zn.upf
Cu 63.55 Cu.upf
ATOMIC_POSITIONS angstrom
Hf 0.000 0.000 2.183
Hf 0.000 0.000 10.760
Zn -2.179 -1.258 4.315
Zn 0.000 -2.590 4.077
Zn -2.243 1.295 4.077
Zn -1.290 -2.235 6.472
Zn -2.581 0.000 6.472
Zn -2.243 -1.295 8.867
Zn -2.179 1.258 8.629
Zn 1.290 -2.235 6.472
Zn 0.000 2.516 4.315
Zn -1.290 2.235 6.472
Zn 2.243 1.295 4.077
Zn 2.581 0.000 6.472
Zn 1.290 2.235 6.472
Zn 2.243 -1.295 8.867
Zn 0.000 2.590 8.867
Cu 0.000 0.000 5.129
Cu 0.000 0.000 7.815
CELL_PARAMETERS angstrom
4.358 2.516 4.315
-4.358 2.516 4.315
0.000 -5.032 4.315
```

Size of the total moment ... 0.0 μB per cell
VASP energy ... -2.57 eV/atom
Mass density ... 8.57 g cm⁻³
Formation enthalpy at 0 K ... -0.081 eV/atom

***

Entry from the Alexandria database: a relaxed structure of Hf2Zn12Cu (PBE-GGA). Values from VASP.

```
&SYSTEM
  ibrav = 0, nat = 30, ntyp = 3
/
ATOMIC_SPECIES
Hf 178.49 Hf.upf
Zn 65.41 Zn.upf
Cu 63.55 Cu.upf
ATOMIC_POSITIONS angstrom
Hf 1.380 4.139 3.921
Hf 1.380 4.139 12.161
Hf 4.139 1.380 3.921
Hf 4.139 1.380 12.161
Zn 5.519 0.000 1.489
Zn 0.000 5.519 14.593
Zn 0.000 2.760 1.489
Zn 5.519 2.759 14.593
Zn 0.460 3.220 6.914
Zn 0.460 5.059 9.169
Zn 1.380 1.380 3.080
Zn 1.380 1.380 5.406
Zn 1.380 1.380 10.677
Zn 1.380 1.380 13.002
Zn 2.300 3.220 9.169
Zn 2.300 5.059 6.914
Zn 2.759 5.519 1.489
Zn 2.760 0.000 14.593
Zn 2.760 2.759 1.489
Zn 2.759 2.760 14.593
Zn 3.220 0.460 9.169
Zn 3.220 2.300 6.914
Zn 4.139 4.139 3.080
Zn 4.139 4.139 5.406
Zn 4.139 4.139 10.677
Zn 4.139 4.139 13.002
Zn 5.059 0.460 6.914
Zn 5.059 2.300 9.169
Cu 1.380 4.139 0.000
Cu 4.139 1.380 0.000
CELL_PARAMETERS angstrom
5.519 0.000 0.000
0.000 5.519 0.000
0.000 0.000 16.083
```

Size of the total moment ... 0.0 μB per cell
VASP energy ... -2.61 eV/atom
Mass density ... 8.17 g cm⁻³
Formation enthalpy at 0 K ... 0.007 eV/atom

***

Entry from the Alexandria database: a relaxed structure of Hf2ZnCu (PBE-GGA). Values from VASP.

```
&SYSTEM
  ibrav = 0, nat = 16, ntyp = 3
/
ATOMIC_SPECIES
Hf 178.49 Hf.upf
Zn 65.41 Zn.upf
Cu 63.55 Cu.upf
ATOMIC_POSITIONS angstrom
Hf 1.691 1.838 0.698
Hf 1.838 5.367 2.095
Hf 1.838 5.661 4.888
Hf 1.985 1.838 3.491
Hf 5.367 5.514 3.491
Hf 5.514 1.691 4.888
Hf 5.514 1.985 2.095
Hf 5.661 5.514 0.698
Zn 0.000 0.000 2.793
Zn 0.000 3.676 4.189
Zn 3.676 0.000 1.396
Zn 3.676 3.676 0.000
Cu 0.000 0.000 0.000
Cu 0.000 3.676 1.396
Cu 3.676 0.000 4.189
Cu 3.676 3.676 2.793
CELL_PARAMETERS angstrom
7.352 0.000 0.000
0.000 7.352 0.000
0.000 0.000 5.586
```

Size of the total moment ... 0.0 μB per cell
VASP energy ... -6.02 eV/atom
Mass density ... 10.69 g cm⁻³
Formation enthalpy at 0 K ... 0.298 eV/atom

***

Question: Which of these has the lowest VASP energy?
Answer: Hf4ZnCu3

***

Copy entry 3 word for word.
Entry from the Alexandria database: a relaxed structure of Hf2Zn12Cu (PBE-GGA). Values from VASP.

```
&SYSTEM
  ibrav = 0, nat = 30, ntyp = 3
/
ATOMIC_SPECIES
Hf 178.49 Hf.upf
Zn 65.41 Zn.upf
Cu 63.55 Cu.upf
ATOMIC_POSITIONS angstrom
Hf 1.380 4.139 3.921
Hf 1.380 4.139 12.161
Hf 4.139 1.380 3.921
Hf 4.139 1.380 12.161
Zn 5.519 0.000 1.489
Zn 0.000 5.519 14.593
Zn 0.000 2.760 1.489
Zn 5.519 2.759 14.593
Zn 0.460 3.220 6.914
Zn 0.460 5.059 9.169
Zn 1.380 1.380 3.080
Zn 1.380 1.380 5.406
Zn 1.380 1.380 10.677
Zn 1.380 1.380 13.002
Zn 2.300 3.220 9.169
Zn 2.300 5.059 6.914
Zn 2.759 5.519 1.489
Zn 2.760 0.000 14.593
Zn 2.760 2.759 1.489
Zn 2.759 2.760 14.593
Zn 3.220 0.460 9.169
Zn 3.220 2.300 6.914
Zn 4.139 4.139 3.080
Zn 4.139 4.139 5.406
Zn 4.139 4.139 10.677
Zn 4.139 4.139 13.002
Zn 5.059 0.460 6.914
Zn 5.059 2.300 9.169
Cu 1.380 4.139 0.000
Cu 4.139 1.380 0.000
CELL_PARAMETERS angstrom
5.519 0.000 0.000
0.000 5.519 0.000
0.000 0.000 16.083
```

Size of the total moment ... 0.0 μB per cell
VASP energy ... -2.61 eV/atom
Mass density ... 8.17 g cm⁻³
Formation enthalpy at 0 K ... 0.007 eV/atom

***

Question: Which of these has the highest size of the total moment?
Answer: Hf4ZnCu3

***

Please write out number 1 again, unchanged.
Entry from the Alexandria database: a relaxed structure of Hf4ZnCu3 (PBE-GGA). Values from VASP.

```
&SYSTEM
  ibrav = 0, nat = 8, ntyp = 3
/
ATOMIC_SPECIES
Hf 178.49 Hf.upf
Zn 65.41 Zn.upf
Cu 63.55 Cu.upf
ATOMIC_POSITIONS angstrom
Hf 0.000 0.000 0.000
Hf 0.000 0.000 4.603
Hf 0.000 2.307 2.252
Hf 0.000 2.307 6.954
Zn 1.627 2.307 4.603
Cu 1.627 0.000 2.337
Cu 1.627 0.000 6.869
Cu 1.627 2.307 0.000
CELL_PARAMETERS angstrom
3.253 0.000 0.000
0.000 4.615 0.000
0.000 0.000 9.206
```

Size of the total moment ... 1.6 μB per cell
VASP energy ... -6.78 eV/atom
Mass density ... 11.65 g cm⁻³
Formation enthalpy at 0 K ... -0.113 eV/atom